# NaZr4PaN8

A relaxed structure of NaZr4PaN8 (PBE-GGA, the Alexandria database).

a = 6.7632 Å, b = 6.7632 Å, c = 6.7632 Å
α = 58.11°, β = 58.11°, γ = 58.11°
Atoms (fractional coordinates):
Na (0.0000, 0.0000, 0.0000)
Zr (0.3687, 0.3687, 0.8825)
Zr (0.3687, 0.8825, 0.3687)
Zr (0.7474, 0.7474, 0.7474)
Zr (0.8825, 0.3687, 0.3687)
Pa (0.3691, 0.3691, 0.3691)
N (0.1414, 0.1414, 0.1414)
N (0.1407, 0.1407, 0.5665)
N (0.1407, 0.5665, 0.1407)
N (0.1450, 0.6163, 0.6163)
N (0.5665, 0.1407, 0.1407)
N (0.6163, 0.1450, 0.6163)
N (0.6163, 0.6163, 0.1450)
N (0.6185, 0.6185, 0.6185)

## Properties
Calculated density ... 5.80 Mg/m³
Space-group type ... No. 160
N(E_F) ... 0.6252 states/eV per atom
Uncorrected formation energy ... -1.081 eV per atom
Energy ... -9.054 eV per atom